No. 1
PBE Tb2Si4Os3, relaxed; space group = Fmmm; theoretical density = 10.5 g/cm3; polymorph energy (0 for the lowest one) = 4.49 kcal/mol of atoms; ΔE_f (raw) = -41.1 kJ per mole of atoms
1.0
5.5437 -0.1158 0.0000
-2.6790 4.8548 0.0000
-1.4323 -2.3695 5.9602
Tb Si Os
2 4 3
Cartesian
0.0000 0.0000 4.3576
1.4323 2.3695 1.6026
4.0803 0.7688 1.8748
-1.2156 3.9701 1.8748
-2.6479 1.6007 4.0854
2.6479 -1.6007 4.0854
2.7718 -0.0579 0.0000
-1.3395 2.4274 0.0000
0.0000 0.0000 0.0000

---

No. 2
PBE TbSiOs, relaxed; space group = I4/mmm; theoretical density = 10.7 g/cm3; ΔE_f (raw) = -65.9 kJ per mole of atoms
1.0
4.1479 0.0000 0.0000
0.0000 4.1479 0.0000
-2.0739 -2.0739 6.8202
Si Os Tb
2 2 2
Cartesian
0.0000 0.0000 1.4407
2.0739 2.0739 5.3795
2.0739 0.0000 0.0000
0.0000 2.0739 0.0000
2.0740 2.0740 2.0909
0.0000 0.0000 4.7293

---

No. 3
PBE Tb2Si4Os3, relaxed; space group = Cmce; theoretical density = 11.2 g/cm3; polymorph energy (0 for the lowest one) = 0.00 kcal/mol of atoms; ΔE_f (raw) = -59.9 kJ per mole of atoms
1.0
-5.4748 -1.8394 -0.1501
1.4176 -4.6327 5.0661
0.9206 5.9131 5.1496
Os Tb Si
6 4 8
Cartesian
-2.0286 -3.2361 2.4580
-1.8400 0.6512 3.5351
0.0000 0.0000 0.0000
-1.2967 -1.2103 6.5305
1.4407 -0.2906 6.6055
-4.5774 -0.2685 3.4601
-1.8528 -4.0193 5.6421
-1.2838 3.4602 4.4235
-3.5756 1.0839 5.9412
0.4389 -1.6430 4.1244
-1.2368 -1.0065 1.8505
-2.6473 -1.5507 4.3712
-0.4893 0.9917 5.6944
-1.8998 0.4474 8.2152
0.7407 -2.7574 6.7715
0.8376 1.3672 8.2902
-3.8774 2.1983 3.2941
-3.9742 -1.9262 1.7754

---

No. 4
PBE Tb2Si5Os3, relaxed; space group = Ibam; theoretical density = 10.3 g/cm3; polymorph energy (0 for the lowest one) = 0.23 kcal/mol of atoms; ΔE_f (raw) = -70.1 kJ per mole of atoms
1.0
5.3278 0.0048 1.9506
3.0135 7.6889 0.0183
0.0158 -0.7193 8.2270
Os Si Tb
6 10 4
Cartesian
4.0122 -0.7144 9.6887
1.2917 1.5855 4.7224
7.0655 5.3890 5.4734
3.5226 2.9211 6.9051
4.8346 4.0534 3.2907
4.3450 7.6889 0.5071
2.8459 3.4839 4.6123
5.2304 1.9791 2.2204
3.7206 5.9373 2.2172
3.1268 4.9954 7.9754
6.3836 5.9373 3.1948
6.3652 6.6093 7.3775
4.6366 1.0372 7.9787
1.9736 1.0372 7.0010
5.5113 3.4906 5.5835
1.9920 0.3652 2.8184
5.9032 3.9726 8.6486
4.3068 0.7293 4.7436
2.4540 3.0019 1.5472
4.0504 6.2452 5.4523

---

No. 5
PBE Tb3Si2Os2, relaxed; space group = Pbcm; theoretical density = 10.5 g/cm3; ΔE_f (raw) = -60.4 kJ per mole of atoms
1.0
5.6283 0.0000 0.0000
0.0000 7.6214 0.0000
0.0000 0.0000 13.4623
Tb Si Os
12 8 8
Cartesian
2.1143 1.9081 10.0967
2.1143 1.9026 3.3656
3.5140 5.7188 10.0967
0.8023 4.6038 5.3632
4.8260 3.0176 12.0944
0.8023 6.8283 12.0944
4.8260 3.0176 8.0991
0.8023 4.6038 1.3679
3.5140 5.7133 3.3656
0.8023 6.8283 8.0991
4.8260 0.7931 5.3632
4.8260 0.7931 1.3679
3.3516 5.7160 6.7312
2.2767 1.9053 0.0000
4.8348 0.7434 10.0967
3.3516 5.7160 0.0000
2.2767 1.9053 6.7312
4.8348 3.0673 3.3656
0.7935 6.8779 3.3656
0.7935 4.5541 10.0967
3.6482 3.6110 5.5043
1.9801 4.0104 7.9580
3.6482 0.1997 7.9580
1.9801 4.0104 12.2354
1.9801 7.4217 1.2269
3.6482 0.1997 12.2354
1.9801 7.4217 5.5043
3.6482 3.6110 1.2269

---

No. 6
PBE Tb3Si2Os, relaxed; space group = Pnma; theoretical density = 8.8 g/cm3; ΔE_f (raw) = -60.2 kJ per mole of atoms
1.0
4.1744 0.0000 0.0000
0.0000 11.3132 0.0000
0.0000 0.0000 11.5923
Tb Si Os
12 8 4
Cartesian
1.0436 1.3729 6.4768
3.1308 2.2716 3.3261
3.1308 7.0295 10.9117
3.1308 6.3008 7.2039
3.1308 3.3850 9.1222
1.0436 9.0416 8.2663
3.1308 9.9403 5.1155
1.0436 4.2837 0.6807
3.1308 10.6690 1.4077
1.0436 5.0124 4.3885
1.0436 7.9282 2.4701
1.0436 0.6442 10.1846
1.0436 0.0957 3.5291
3.1308 5.7523 2.2671
1.0436 7.7724 5.5311
1.0436 5.5609 9.3253
1.0436 9.1974 11.3272
3.1308 11.2175 8.0632
3.1308 3.5408 6.0613
3.1308 2.1158 0.2651
3.1308 7.1997 4.3202
1.0436 4.1135 7.2722
1.0436 1.5431 1.4760
3.1308 9.7701 10.1164

---

No. 7
PBE TbSi2Os2, relaxed; space group = I4/mmm; theoretical density = 11.7 g/cm3; polymorph energy (0 for the lowest one) = 0.00 kcal/mol of atoms; ΔE_f (raw) = -70.2 kJ per mole of atoms
1.0
-1.0563 -3.2547 -4.5285
3.9918 -3.7396 -1.5157
-2.7052 1.4683 4.7689
Os Tb Si
2 1 2
Cartesian
-1.1469 -2.6418 -1.3908
1.3772 -2.8842 0.1156
0.0000 0.0000 0.0000
1.0922 -2.6024 -2.2488
1.8433 -4.3920 -3.7953

---

No. 8
PBE TbSi2Os2, relaxed; space group = P4/mmm; theoretical density = 11.8 g/cm3; polymorph energy (0 for the lowest one) = 4.26 kcal/mol of atoms; ΔE_f (raw) = -52.4 kJ per mole of atoms
1.0
-3.7418 1.6459 0.0317
-1.5872 -3.6277 1.0158
0.5371 1.1274 4.8656
Si Os Tb
2 2 1
Cartesian
-2.5382 -0.7259 1.6674
-2.2536 -0.1284 4.2457
-1.6023 1.3867 2.4486
-0.5250 -1.2501 2.9407
0.0000 0.0000 0.0000

---

No. 9
PBE TbSi7Os3, relaxed; space group = R-3c; theoretical density = 9.1 g/cm3; ΔE_f (raw) = -43.8 kJ per mole of atoms
1.0
-1.3332 -6.0534 4.5002
-4.4560 -5.7130 -2.4859
3.4338 -6.9972 -1.8759
Os Si Tb
6 14 2
Cartesian
-4.0199 -10.5156 -0.1584
-1.4845 -8.7575 3.0578
-0.8709 -10.0060 -2.9194
-2.0514 -6.5660 -0.7813
1.6645 -8.2480 0.2968
-0.3040 -12.1976 0.9197
-3.6942 -9.3210 1.9721
-2.6963 -11.8901 1.4009
1.6364 -10.7715 0.3969
0.2514 -7.3091 2.0774
1.3388 -9.4426 -1.8337
0.1091 -10.6064 2.7554
-0.5888 -4.6909 0.0346
-1.7665 -14.0727 0.1038
-2.6067 -11.4545 -1.9390
0.1608 -11.7548 -1.5230
-2.5162 -7.0088 1.6614
-2.4644 -8.1572 -2.6170
0.3409 -6.8735 -1.2625
-3.9918 -7.9921 -0.2585
-1.1777 -9.3818 0.0692
0.0000 0.0000 0.0000

---

No. 10
PBE TbSiOs, relaxed; space group = P-6m2; theoretical density = 10.5 g/cm3; ΔE_f (raw) = -48.8 kJ per mole of atoms
1.0
-2.5257 -3.1481 -0.5064
-0.0632 -0.6040 4.0702
-2.7615 2.4974 -1.7527
Si Os Tb
1 1 1
Cartesian
-0.4210 -0.5247 -0.0844
-2.2835 0.9383 0.1038
-2.6459 -1.6683 1.7917

---

No. 11
PBE Tb2Si3Os2, relaxed; space group = C2/m; theoretical density = 9.7 g/cm3; ΔE_f (raw) = -65.2 kJ per mole of atoms
1.0
4.3089 0.0000 0.0000
0.0000 7.1041 -0.9878
-2.1545 -2.6220 4.7381
Tb Si Os
2 3 2
Cartesian
0.0000 -0.9124 3.9304
2.1545 5.3945 -0.1802
0.0000 3.4476 0.8340
0.0000 0.0000 0.0000
2.1545 1.0345 2.9163
2.1545 3.2511 1.9119
0.0000 1.2310 1.8384

---

No. 12
PBE Tb2Si5Os3, relaxed; space group = P4/mnc; theoretical density = 10.4 g/cm3; polymorph energy (0 for the lowest one) = 0.00 kcal/mol of atoms; ΔE_f (raw) = -71.1 kJ per mole of atoms
1.0
10.7451 0.0000 0.0000
0.0000 10.7451 0.0000
0.0000 0.0000 5.6912
Si Tb Os
20 8 12
Cartesian
10.4587 3.4396 0.0000
1.9330 5.6588 2.8456
1.8555 3.5171 4.2684
5.6588 8.8121 2.8456
7.2280 1.8555 1.4228
8.8896 7.2280 1.4228
8.8121 5.0862 2.8456
8.8896 7.2280 4.2684
0.0000 0.0000 4.3029
3.5171 8.8896 4.2684
1.8555 3.5171 1.4228
7.2280 1.8555 4.2684
0.0000 0.0000 1.3883
5.3725 5.3725 1.4573
5.0862 1.9330 2.8456
5.3725 5.3725 4.2339
3.4396 0.2863 0.0000
3.5171 8.8896 1.4228
0.2863 7.3055 0.0000
7.3055 10.4587 0.0000
0.7577 8.2162 2.8456
2.8436 6.1302 0.0000
4.6148 2.8436 0.0000
7.9014 4.6148 0.0000
8.2162 9.9874 2.8456
9.9874 2.5289 2.8456
6.1302 7.9014 0.0000
2.5289 0.7577 2.8456
3.7961 4.0236 2.8456
5.3725 0.0000 1.4228
1.5765 9.3961 0.0000
1.3490 1.5765 0.0000
6.9490 6.7215 2.8456
9.3961 9.1686 0.0000
6.7215 3.7961 2.8456
0.0000 5.3725 4.2684
0.0000 5.3725 1.4228
4.0236 6.9490 2.8456
5.3725 0.0000 4.2684
9.1686 1.3490 0.0000

---

Q: theoretical density of number 3 (Tb2Si4Os3)?
A: 11.2 g/cm3